DFT (PBE) results for a relaxed MgNb2SCl crystal.

Calculated values
Raw formation energy (eV/atom): 1.336
SG: No. 123

Cell lengths 5.144, 4.460, 5.144 Å; angles 90.00, 90.00, 90.00 degrees
Fractional coordinates of all 5 atoms:
S  0.000  0.500  0.000
Nb  0.500  0.000  0.000
Mg  0.000  0.000  0.000
Nb  0.000  0.000  0.500
Cl  0.500  0.500  0.500


DFT (PBE) results for a relaxed Tl12ClO5 crystal.

Calculated values
Raw formation energy (eV/atom): -0.550
SG: No. 12

Cell lengths 6.427, 6.423, 13.543 Å; angles 94.72, 99.46, 59.98 degrees
Fractional coordinates of all 18 atoms:
Tl  0.539  0.333  0.610
O  0.667  0.667  0.000
Tl  0.204  0.000  0.611
Tl  0.461  0.667  0.390
Tl  0.872  0.667  0.610
Tl  0.128  0.333  0.390
O  0.500  0.000  0.500
Tl  0.349  0.607  0.874
Tl  0.044  0.607  0.126
Tl  0.651  0.393  0.126
Tl  0.564  0.000  0.874
Cl  0.000  0.000  0.000
O  0.834  0.332  0.500
Tl  0.436  0.000  0.126
O  0.166  0.668  0.500
Tl  0.956  0.393  0.874
Tl  0.796  0.000  0.389
O  0.333  0.333  0.000